No. 1
# PBE Pu2Pa3N8, relaxed
data_Pu2Pa3N8
_chemical_formula_sum 'Pu2 Pa3 N8'
_cell_length_a 6.565
_cell_length_b 3.754
_cell_length_c 9.495
_cell_angle_alpha 90.00
_cell_angle_beta 98.42
_cell_angle_gamma 90.00
_symmetry_space_group_name_H-M 'P 1 2/m 1'
_symmetry_Int_Tables_number 10
_symmetry_space_group_name_Hall '-P 2y'
loop_
_atom_site_label
_atom_site_fract_x
_atom_site_fract_y
_atom_site_fract_z
Pu1 0.151 0.000 0.360
Pa1 0.387 0.500 0.675
Pa2 0.500 0.000 0.000
N1 0.174 0.000 0.601
N2 0.301 0.500 0.419
N3 0.334 0.500 0.896
N4 0.420 0.000 0.233
# Crystal system ... monoclinic
# DOS(E_F) ... 12.0 states/eV per cell
# Uncorrected formation energy ... -1.320 eV per atom

=====

No. 2
# PBE AcCdIr, relaxed
data_AcCdIr
_chemical_formula_sum 'Ac1 Cd1 Ir1'
_cell_length_a 4.6944
_cell_length_b 4.6944
_cell_length_c 4.1543
_cell_angle_alpha 90.00
_cell_angle_beta 90.00
_cell_angle_gamma 120.00
_symmetry_space_group_name_H-M 'P -6 m 2'
_symmetry_Int_Tables_number 187
_symmetry_space_group_name_Hall 'P -6 2'
loop_
_atom_site_label
_atom_site_fract_x
_atom_site_fract_y
_atom_site_fract_z
Ac1 0.0000 0.0000 0.0000
Cd1 0.3333 0.6667 0.5000
Ir1 0.6667 0.3333 0.5000
# Crystal system ... hexagonal
# Raw total energy ... -4.93 eV per atom
# DOS(E_F) ... 1.1 states/eV per cell

=====

No. 3
# PBE FeGeIr3, relaxed
data_FeGeIr3
_chemical_formula_sum 'Fe1 Ge1 Ir3'
_cell_length_a 4.498
_cell_length_b 4.498
_cell_length_c 4.498
_cell_angle_alpha 90.00
_cell_angle_beta 90.00
_cell_angle_gamma 90.00
_symmetry_space_group_name_H-M 'P m -3 m'
_symmetry_Int_Tables_number 221
_symmetry_space_group_name_Hall '-P 4 2 3'
loop_
_atom_site_label
_atom_site_fract_x
_atom_site_fract_y
_atom_site_fract_z
Fe1 0.000 0.000 0.000
Ge1 0.500 0.500 0.500
Ir1 0.000 0.500 0.500
# Crystal system ... cubic
# Raw total energy ... -6.32 eV per atom
# DOS(E_F) ... 9.1 states/eV per cell

=====

No. 4
# PBE Pm8SmY5, relaxed
data_Pm8SmY5
_chemical_formula_sum 'Pm16 Sm2 Y10'
_cell_length_a 9.681
_cell_length_b 9.681
_cell_length_c 10.360
_cell_angle_alpha 90.00
_cell_angle_beta 90.00
_cell_angle_gamma 90.00
_symmetry_space_group_name_H-M 'I -4'
_symmetry_Int_Tables_number 82
_symmetry_space_group_name_Hall 'I -4'
loop_
_atom_site_label
_atom_site_fract_x
_atom_site_fract_y
_atom_site_fract_z
Pm1 0.069 0.328 0.099
Pm2 0.091 0.178 0.752
Sm1 0.000 0.500 0.750
Y1 0.000 0.000 0.000
Y2 0.111 0.204 0.426
# Crystal system ... tetragonal
# Raw total energy ... -5.11 eV per atom
# DOS(E_F) ... 43.4 states/eV per cell

=====

No. 5
# PBE Tb2DyTmTh, relaxed
data_Tb2DyTmTh
_chemical_formula_sum 'Tb4 Dy2 Tm2 Th2'
_cell_length_a 8.488
_cell_length_b 6.311
_cell_length_c 6.297
_cell_angle_alpha 90.00
_cell_angle_beta 96.27
_cell_angle_gamma 90.00
_symmetry_space_group_name_H-M 'P 1 2/c 1'
_symmetry_Int_Tables_number 13
_symmetry_space_group_name_Hall '-P 2yc'
loop_
_atom_site_label
_atom_site_fract_x
_atom_site_fract_y
_atom_site_fract_z
Tb1 0.187 0.199 0.283
Dy1 0.500 0.500 0.000
Tm1 0.000 0.318 0.750
Th1 0.500 0.051 0.750
# Crystal system ... monoclinic
# Raw total energy ... -4.82 eV per atom
# DOS(E_F) ... 12.2 states/eV per cell

=====

No. 6
# PBE KInGe, relaxed
data_KInGe
_chemical_formula_sum 'K4 In4 Ge4'
_cell_length_a 7.520
_cell_length_b 12.046
_cell_length_c 4.574
_cell_angle_alpha 90.00
_cell_angle_beta 90.00
_cell_angle_gamma 90.00
_symmetry_space_group_name_H-M 'C m m e'
_symmetry_Int_Tables_number 67
_symmetry_space_group_name_Hall '-C 2a 2'
loop_
_atom_site_label
_atom_site_fract_x
_atom_site_fract_y
_atom_site_fract_z
K1 0.250 0.000 0.000
In1 0.250 0.250 0.500
Ge1 0.000 0.250 0.082
# Crystal system ... orthorhombic
# Raw total energy ... -2.79 eV per atom
# DOS(E_F) ... 1.6 states/eV per cell